1.
{
  "formula": "ZrIF2",
  "functional": "GGA-PBEsol",
  "state": "relaxed",
  "cell": [[0.000, 3.150, 3.150], [3.150, 0.000, 3.150], [3.150, 3.150, 0.000]],
  "species": ["Zr", "I", "F", "F"],
  "fractional_positions": [[0.000, 0.000, 0.000], [0.500, 0.500, 0.500], [0.250, 0.250, 0.250], [0.750, 0.750, 0.750]],
  "dos_ef_per_ev_fu": 2.31
}



2.
{
  "formula": "ZrIF2",
  "functional": "GGA-PBEsol",
  "state": "relaxed",
  "cell": [[1.542, 0.890, 10.276], [-1.542, 0.890, 10.276], [0.000, -1.780, 10.276]],
  "species": ["Zr", "I", "F", "F"],
  "fractional_positions": [[0.000, 0.000, 0.000], [0.500, 0.500, 0.500], [0.380, 0.380, 0.380], [0.620, 0.620, 0.620]],
  "dos_ef_per_ev_fu": 1.07
}



The structure with the greatest stability is 2.



1.
{
  "formula": "InSeNF2",
  "functional": "GGA-PBEsol",
  "state": "relaxed",
  "cell": [[4.596, 0.000, 0.000], [0.000, 4.596, 0.000], [0.000, 0.000, 3.682]],
  "species": ["In", "Se", "N", "F", "F"],
  "fractional_positions": [[0.000, 0.000, 0.000], [0.500, 0.500, 0.500], [0.500, 0.500, 0.000], [0.000, 0.500, 0.500], [0.500, 0.000, 0.500]],
  "dos_ef_per_ev_fu": 0.94
}



2.
{
  "formula": "InSeNF2",
  "functional": "GGA-PBEsol",
  "state": "relaxed",
  "cell": [[4.085, 0.000, 0.000], [0.000, 4.085, 0.000], [0.000, 0.000, 4.446]],
  "species": ["In", "Se", "N", "F", "F"],
  "fractional_positions": [[0.000, 0.000, 0.000], [0.500, 0.500, 0.500], [0.000, 0.000, 0.500], [0.000, 0.500, 0.000], [0.500, 0.000, 0.000]],
  "dos_ef_per_ev_fu": 2.36
}



The structure with the greatest stability is 1.



1.
{
  "formula": "InPS2F",
  "functional": "GGA-PBEsol",
  "state": "relaxed",
  "cell": [[4.874, 0.000, 0.000], [0.000, 4.874, 0.000], [0.000, 0.000, 5.159]],
  "species": ["In", "P", "S", "S", "F"],
  "fractional_positions": [[0.000, 0.000, 0.000], [0.000, 0.000, 0.500], [0.000, 0.500, 0.000], [0.500, 0.000, 0.000], [0.500, 0.500, 0.500]],
  "dos_ef_per_ev_fu": 6.26
}



2.
{
  "formula": "InPS2F",
  "functional": "GGA-PBEsol",
  "state": "relaxed",
  "cell": [[4.981, 0.000, 0.000], [0.000, 4.981, 0.000], [0.000, 0.000, 3.639]],
  "species": ["In", "P", "S", "S", "F"],
  "fractional_positions": [[0.000, 0.000, 0.000], [0.500, 0.500, 0.000], [0.000, 0.500, 0.500], [0.500, 0.000, 0.500], [0.500, 0.500, 0.500]],
  "dos_ef_per_ev_fu": 1.80
}



The structure with the greatest stability is 2.



1.
{
  "formula": "ReIrN2F",
  "functional": "GGA-PBEsol",
  "state": "relaxed",
  "cell": [[3.893, 0.000, 0.000], [0.000, 3.893, 0.000], [0.000, 0.000, 3.868]],
  "species": ["Re", "Ir", "N", "N", "F"],
  "fractional_positions": [[0.000, 0.000, 0.000], [0.500, 0.500, 0.500], [0.000, 0.500, 0.000], [0.500, 0.000, 0.000], [0.000, 0.000, 0.500]],
  "dos_ef_per_ev_fu": 5.45
}



2.
{
  "formula": "ReIrN2F",
  "functional": "GGA-PBEsol",
  "state": "relaxed",
  "cell": [[3.878, 0.000, 0.000], [0.000, 3.878, 0.000], [0.000, 0.000, 4.053]],
  "species": ["Re", "Ir", "N", "N", "F"],
  "fractional_positions": [[0.000, 0.000, 0.000], [0.500, 0.500, 0.500], [0.000, 0.500, 0.500], [0.500, 0.000, 0.500], [0.500, 0.500, 0.000]],
  "dos_ef_per_ev_fu": 3.27
}



The structure with the greatest stability is 1.